Below is a relaxed SrCrSnP3O12 crystal, with properties calculated at the GGA+U level.

**Density**: 3.71 Mg/m³
**DOS at the Fermi energy**: 0.0 states/eV/cell
**DFT total energy**: -7.22 eV/atom

a b c (Å): 9.1411 9.1411 9.1411
angles (deg): 55.69 55.69 55.69
Atoms (fractional coordinates):
1 O 0.2885 0.5226 0.1119
2 O 0.7115 0.4774 0.8881
3 O 0.7619 0.3996 0.6022
4 O 0.9802 0.2572 0.3559
5 O 0.3559 0.9802 0.2572
6 O 0.0198 0.7428 0.6441
7 O 0.3996 0.6022 0.7619
8 O 0.0351 0.9481 0.2957
9 O 0.7428 0.6441 0.0198
10 O 0.5226 0.1119 0.2885
11 O 0.8881 0.7115 0.4774
12 O 0.0519 0.7043 0.9649
13 O 0.6004 0.3978 0.2381
14 O 0.7043 0.9649 0.0519
15 O 0.1119 0.2885 0.5226
16 O 0.4774 0.8881 0.7115
17 O 0.2957 0.0351 0.9481
18 O 0.6441 0.0198 0.7428
19 O 0.2381 0.6004 0.3978
20 O 0.3978 0.2381 0.6004
21 O 0.9481 0.2957 0.0351
22 O 0.6022 0.7619 0.3996
23 O 0.9649 0.0519 0.7043
24 O 0.2572 0.3559 0.9802
25 P 0.2450 0.5397 0.9600
26 P 0.4603 0.0400 0.7550
27 P 0.0400 0.7550 0.4603
28 P 0.7550 0.4603 0.0400
29 P 0.9600 0.2450 0.5397
30 P 0.5397 0.9600 0.2450
31 Sn 0.3513 0.3513 0.3513
32 Sn 0.6487 0.6487 0.6487
33 Sr 0.5000 0.5000 0.5000
34 Sr 0.0000 0.0000 0.0000
35 Cr 0.8497 0.8497 0.8497
36 Cr 0.1503 0.1503 0.1503